# Sm6Bi3TeP2 (PBE, relaxed)
# crystal system: monoclinic
# total energy: -5.699 eV/atom
# ρ: 7.968 g cm⁻³
data_Sm6Bi3TeP2
_chemical_formula_sum 'Sm6 Bi3 Te1 P2'
_cell_length_a 4.3585
_cell_length_b 8.8376
_cell_length_c 9.8111
_cell_angle_alpha 103.23
_cell_angle_beta 102.83
_cell_angle_gamma 90.00
_space_group_name_H-M_alt 'P 1'
_space_group_IT_number 1
_space_group_name_Hall 'P 1'
loop_
_atom_site_label
_atom_site_fract_x
_atom_site_fract_y
_atom_site_fract_z
Sm1 0.3285 0.8915 0.6569
Sm2 0.6740 0.5676 0.3480
Sm3 0.6715 0.1085 0.3431
Sm4 0.0125 0.2580 0.0251
Sm5 0.9875 0.7420 0.9749
Sm6 0.3260 0.4324 0.6520
Bi1 0.5000 0.5000 0.0000
Bi2 0.8391 0.1678 0.6781
Bi3 0.1609 0.8322 0.3219
Te1 0.5000 0.0000 0.0000
P1 0.8307 0.6642 0.6614
P2 0.1693 0.3358 0.3386